No. 1
{
  "formula": "Pr2FePbO6",
  "functional": "GGA+U",
  "state": "relaxed",
  "lattice": [[5.1096, -2.9055, 0.0000], [5.1096, 2.9055, 0.0000], [-3.0948, 0.0000, 4.8395]],
  "species": ["Pr", "Pr", "Fe", "Pb", "O", "O", "O", "O", "O", "O"],
  "frac_coords": [[0.2484, 0.2484, 0.2170], [0.7516, 0.7516, 0.7830], [0.5000, 0.5000, 0.0000], [0.0000, 0.0000, 0.5000], [0.1781, 0.6715, 0.1669], [0.2458, 0.2458, 0.6220], [0.3285, 0.8219, 0.8331], [0.6715, 0.1781, 0.1669], [0.7542, 0.7542, 0.3780], [0.8219, 0.3285, 0.8331]],
  "final_energy_ev_per_atom": -7.040,
  "space_group": "C2/m",
  "vol_a3_per_fu": 143.7
}

---

No. 2
{
  "formula": "FePt2PbO",
  "functional": "GGA+U",
  "state": "relaxed",
  "lattice": [[5.1408, 0.0000, 0.0000], [0.0000, 5.1408, 0.0000], [0.0000, 0.0000, 4.1660]],
  "species": ["Fe", "Pt", "Pt", "Pb", "O"],
  "frac_coords": [[0.0000, 0.0000, 0.0000], [0.0000, 0.5000, 0.5000], [0.5000, 0.0000, 0.5000], [0.5000, 0.5000, 0.5000], [0.5000, 0.5000, 0.0000]],
  "final_energy_ev_per_atom": -4.318,
  "dos_at_fermi_per_ev_cell": 3.67,
  "space_group": "P4/mmm",
  "vol_a3_per_fu": 110.1
}

---

No. 3
{
  "formula": "PuFePb2O8",
  "functional": "GGA+U",
  "state": "relaxed",
  "lattice": [[5.0426, 0.0000, 0.0000], [0.0000, 6.6010, 0.0000], [-0.0341, 0.0000, 5.0500]],
  "species": ["Pu", "Fe", "Pb", "Pb", "O", "O", "O", "O", "O", "O", "O", "O"],
  "frac_coords": [[0.0000, 0.0000, 0.0000], [0.0000, 0.5000, 0.0000], [0.5000, 0.2582, 0.5000], [0.5000, 0.7418, 0.5000], [0.1814, 0.2508, 0.8202], [0.1814, 0.7492, 0.8202], [0.2880, 0.5000, 0.2894], [0.3033, 0.0000, 0.3054], [0.6967, 0.0000, 0.6946], [0.7120, 0.5000, 0.7106], [0.8186, 0.2508, 0.1798], [0.8186, 0.7492, 0.1798]],
  "final_energy_ev_per_atom": -7.079,
  "dos_at_fermi_per_ev_cell": 6.21,
  "space_group": "P2/m",
  "vol_a3_per_fu": 168.1
}

---

No. 4
{
  "formula": "PuFePbO6",
  "functional": "GGA+U",
  "state": "relaxed",
  "lattice": [[5.3984, 0.0000, 0.0000], [-2.6992, 4.6752, 0.0000], [0.0000, 0.0000, 10.7758]],
  "species": ["Pu", "Pu", "Fe", "Fe", "Pb", "Pb", "O", "O", "O", "O", "O", "O", "O", "O", "O", "O", "O", "O"],
  "frac_coords": [[0.3333, 0.6667, 0.2500], [0.6667, 0.3333, 0.7500], [0.3333, 0.6667, 0.7500], [0.6667, 0.3333, 0.2500], [0.0000, 0.0000, 0.0000], [0.0000, 0.0000, 0.5000], [0.0037, 0.3704, 0.1478], [0.0037, 0.6333, 0.3522], [0.3667, 0.3704, 0.3522], [0.3667, 0.9963, 0.1478], [0.3704, 0.0037, 0.6478], [0.3704, 0.3667, 0.8522], [0.6296, 0.6333, 0.1478], [0.6296, 0.9963, 0.3522], [0.6333, 0.0037, 0.8522], [0.6333, 0.6296, 0.6478], [0.9963, 0.3667, 0.6478], [0.9963, 0.6296, 0.8522]],
  "final_energy_ev_per_atom": -7.746,
  "space_group": "P-31c",
  "vol_a3_per_fu": 136.0
}

---

No. 5
{
  "formula": "PuFe2PbO6",
  "functional": "GGA+U",
  "state": "relaxed",
  "lattice": [[5.5074, 0.0000, 0.0000], [2.7296, 4.9754, 0.0000], [2.4806, 1.5363, 5.1295]],
  "species": ["Pu", "Fe", "Fe", "Pb", "O", "O", "O", "O", "O", "O"],
  "frac_coords": [[0.0000, 0.0000, 0.0000], [0.2050, 0.2348, 0.3744], [0.7246, 0.6549, 0.9232], [0.4877, 0.4925, 0.5481], [0.0551, 0.3837, 0.7049], [0.2269, 0.9560, 0.2221], [0.4003, 0.8199, 0.7541], [0.6063, 0.2777, 0.1834], [0.8200, 0.0261, 0.7543], [0.9223, 0.6058, 0.1883]],
  "final_energy_ev_per_atom": -7.652,
  "dos_at_fermi_per_ev_cell": 5.83,
  "space_group": "P1",
  "vol_a3_per_fu": 140.6
}

---

No. 6
{
  "formula": "FeRe2PbO",
  "functional": "GGA+U",
  "state": "relaxed",
  "lattice": [[4.4962, 0.0000, 0.0000], [0.0000, 4.4962, 0.0000], [0.0000, 0.0000, 5.2543]],
  "species": ["Fe", "Re", "Re", "Pb", "O"],
  "frac_coords": [[0.0000, 0.0000, 0.0000], [0.0000, 0.5000, 0.0000], [0.5000, 0.0000, 0.0000], [0.0000, 0.0000, 0.5000], [0.5000, 0.5000, 0.5000]],
  "final_energy_ev_per_atom": -5.467,
  "dos_at_fermi_per_ev_cell": 5.19,
  "space_group": "P4/mmm",
  "vol_a3_per_fu": 106.2
}

---

No. 7
{
  "formula": "FeRePbO2",
  "functional": "GGA+U",
  "state": "relaxed",
  "lattice": [[3.8730, 0.0000, 0.0000], [0.0000, 3.8730, 0.0000], [0.0000, 0.0000, 5.4587]],
  "species": ["Fe", "Re", "Pb", "O", "O"],
  "frac_coords": [[0.0000, 0.0000, 0.0000], [0.0000, 0.0000, 0.5000], [0.5000, 0.5000, 0.0000], [0.0000, 0.5000, 0.5000], [0.5000, 0.0000, 0.5000]],
  "final_energy_ev_per_atom": -6.704,
  "dos_at_fermi_per_ev_cell": 1.97,
  "space_group": "P4/mmm",
  "vol_a3_per_fu": 81.9
}

---

No. 8
{
  "formula": "Fe2RePbO",
  "functional": "GGA+U",
  "state": "relaxed",
  "lattice": [[4.4211, 0.0000, 0.0000], [0.0000, 4.4211, 0.0000], [0.0000, 0.0000, 4.0746]],
  "species": ["Fe", "Fe", "Re", "Pb", "O"],
  "frac_coords": [[0.0000, 0.5000, 0.0000], [0.5000, 0.0000, 0.0000], [0.0000, 0.0000, 0.5000], [0.5000, 0.5000, 0.5000], [0.0000, 0.0000, 0.0000]],
  "final_energy_ev_per_atom": -6.047,
  "dos_at_fermi_per_ev_cell": 3.46,
  "space_group": "P4/mmm",
  "vol_a3_per_fu": 79.6
}

---

No. 9
{
  "formula": "FeRePb2O6",
  "functional": "GGA+U",
  "state": "relaxed",
  "lattice": [[5.6610, 0.0000, 0.0000], [-2.7891, 4.9311, 0.0000], [-2.8285, -1.6527, 4.6246]],
  "species": ["Fe", "Re", "Pb", "Pb", "O", "O", "O", "O", "O", "O"],
  "frac_coords": [[0.0000, 0.0000, 0.0000], [0.0000, 0.5000, 0.5000], [0.4942, 0.7436, 0.2504], [0.5058, 0.2564, 0.7496], [0.0067, 0.2873, 0.7749], [0.0488, 0.7940, 0.7426], [0.4878, 0.7184, 0.7140], [0.5122, 0.2816, 0.2860], [0.9512, 0.2060, 0.2574], [0.9933, 0.7127, 0.2251]],
  "final_energy_ev_per_atom": -6.843,
  "dos_at_fermi_per_ev_cell": 2.66,
  "space_group": "P-1",
  "vol_a3_per_fu": 129.1
}

---

No. 10
{
  "formula": "FeRuPb2O6",
  "functional": "GGA+U",
  "state": "relaxed",
  "lattice": [[5.6879, 0.0000, 0.0000], [0.0000, 5.6879, 0.0000], [0.0000, 0.0000, 3.9611]],
  "species": ["Fe", "Ru", "Pb", "Pb", "O", "O", "O", "O", "O", "O"],
  "frac_coords": [[0.0000, 0.0000, 0.0000], [0.5000, 0.5000, 0.0000], [0.0000, 0.5000, 0.5000], [0.5000, 0.0000, 0.5000], [0.0000, 0.0000, 0.5000], [0.2560, 0.2560, 0.0000], [0.2560, 0.7440, 0.0000], [0.5000, 0.5000, 0.5000], [0.7440, 0.2560, 0.0000], [0.7440, 0.7440, 0.0000]],
  "final_energy_ev_per_atom": -6.268,
  "dos_at_fermi_per_ev_cell": 4.11,
  "space_group": "P4/mmm",
  "vol_a3_per_fu": 128.2
}

---

No. 11
{
  "formula": "Fe3PbS2O14",
  "functional": "GGA+U",
  "state": "relaxed",
  "lattice": [[3.4619, 1.9987, 6.1440], [-3.4619, 1.9987, 6.1440], [0.0000, -3.9975, 6.1440]],
  "species": ["Fe", "Fe", "Fe", "Pb", "S", "S", "O", "O", "O", "O", "O", "O", "O", "O", "O", "O", "O", "O", "O", "O"],
  "frac_coords": [[0.0000, 0.5000, 0.5000], [0.5000, 0.0000, 0.5000], [0.5000, 0.5000, 0.0000], [0.5000, 0.5000, 0.5000], [0.1930, 0.1930, 0.1930], [0.8070, 0.8070, 0.8070], [0.0120, 0.6598, 0.6598], [0.1149, 0.1149, 0.1149], [0.2401, 0.2401, 0.6073], [0.2401, 0.6073, 0.2401], [0.3402, 0.3402, 0.9880], [0.3402, 0.9880, 0.3402], [0.3927, 0.7599, 0.7599], [0.6073, 0.2401, 0.2401], [0.6598, 0.0120, 0.6598], [0.6598, 0.6598, 0.0120], [0.7599, 0.3927, 0.7599], [0.7599, 0.7599, 0.3927], [0.8851, 0.8851, 0.8851], [0.9880, 0.3402, 0.3402]],
  "final_energy_ev_per_atom": -5.889,
  "dos_at_fermi_per_ev_cell": 9.00,
  "space_group": "R-3m",
  "vol_a3_per_fu": 255.1
}

---

No. 12
{
  "formula": "FePb2SO",
  "functional": "GGA+U",
  "state": "relaxed",
  "lattice": [[5.6625, 0.0000, 0.0000], [0.0000, 5.6625, 0.0000], [0.0000, 0.0000, 3.5726]],
  "species": ["Fe", "Pb", "Pb", "S", "O"],
  "frac_coords": [[0.0000, 0.0000, 0.0000], [0.0000, 0.5000, 0.5000], [0.5000, 0.0000, 0.5000], [0.5000, 0.5000, 0.5000], [0.5000, 0.5000, 0.0000]],
  "final_energy_ev_per_atom": -4.109,
  "dos_at_fermi_per_ev_cell": 2.71,
  "space_group": "P4/mmm",
  "vol_a3_per_fu": 114.6
}